First-principles (GGA-PBE) data for an optimized crystal structure of Ac2TiZnO6, as listed in Alexandria.

Results
Total moment = 0.0 μB per formula unit
Theoretical density = 8.323 g/cm³
Total energy = -7.62 eV per atom
Symmetry = P4mm, No. 99
D(E_F) = 0.0 states/eV/cell
Formation energy from raw total energies = -2903 meV per atom

Geometry as extended XYZ:
```
10
Lattice="-2.837 2.318 -1.802 -4.067 -3.506 1.894 -0.472 3.111 4.745" Properties=species:S:1:pos:R:3 pbc="T T T"
O -5.360 1.253 3.849
Ac -2.322 -1.517 0.764
O -2.984 1.460 0.374
O -2.691 0.147 3.051
O -5.113 -0.375 1.365
Zn -4.080 1.281 2.170
O -3.231 3.088 2.858
O -0.446 0.365 -0.283
Ti -1.751 1.430 -1.112
Ac -0.524 1.791 2.189
```